1.
VASP calculation (PBE) on Ac4CuSi3 after structural relaxation.

## Properties
uncorrected formation energy = -0.4699 eV/atom
VASP energy = -5.07 eV/atom

Cell: 4.1820 4.6148 11.8440 Å, 90.00 90.00 90.00°
Last column: nearest neighbours and their distance in Å.
Space group Pmm2 (No. 25)
Unique sites:
1 Ac 0.0000 0.0000 0.0000 [1 per cell]  4 Cu 3.29, 3 Si 3.33-3.53
2 Ac 0.0000 0.5000 0.4979 [1 per cell]  7 Si 3.25-3.50
3 Ac 0.5000 0.0000 0.2820 [1 per cell]  2 Cu 3.23, 5 Si 3.25-3.50
4 Ac 0.5000 0.5000 0.7819 [1 per cell]  6 Si 3.25-3.34
5 Cu 0.5000 0.5000 0.0908 [1 per cell]  2 Si 2.47
6 Si 0.0000 0.0000 0.7021 [1 per cell]  2 Si 2.56
7 Si 0.0000 0.5000 0.2023 [1 per cell]  2 Cu 2.47
8 Si 0.5000 0.0000 0.5775 [1 per cell]  2 Si 2.56

=====

2.
VASP calculation (PBE) on AcCu3Si after structural relaxation.

## Properties
uncorrected formation energy = -0.0593 eV/atom
VASP energy = -4.42 eV/atom

Cell: 4.6174 4.6174 4.6174 Å, 90.00 90.00 90.00°
Last column: nearest neighbours and their distance in Å.
Space group Pm-3m (No. 221)
Unique sites:
1 Ac 0.0000 0.0000 0.0000 [1 per cell]  12 Cu 3.26
2 Cu 0.0000 0.5000 0.5000 [3 per cell]  2 Si 2.31
3 Si 0.5000 0.5000 0.5000 [1 per cell]  6 Cu 2.31

=====

3.
VASP calculation (PBE) on AcCu3Si3 after structural relaxation.

## Properties
uncorrected formation energy = -0.0879 eV/atom
VASP energy = -4.75 eV/atom

Cell: 6.1100 6.1100 23.6031 Å, 90.00 90.00 120.00°
Last column: nearest neighbours and their distance in Å.
Space group R-3 (No. 148, hexagonal axes)
Unique sites:
1 Ac 0.0000 0.0000 0.1782 [6 per cell]  6 Si 3.16-3.27, 3 Cu 3.34
2 Cu 0.0502 0.7755 0.6966 [18 per cell]  4 Si 2.43-2.54, 5 Cu 2.57-2.69
3 Si 0.0425 0.7883 0.5892 [18 per cell]  4 Cu 2.43-2.54, 2 Si 2.50

=====

4.
VASP calculation (PBE) on AcCu3Si after structural relaxation.

## Properties
uncorrected formation energy = -0.3023 eV/atom
VASP energy = -4.67 eV/atom

Cell: 4.3409 4.3409 9.7264 Å, 90.00 90.00 90.00°
Last column: nearest neighbours and their distance in Å.
Space group I4mm (No. 107)
Unique sites:
1 Ac 0.0000 0.0000 0.0000 [2 per cell]  12 Cu 3.21-3.31, 5 Si 3.34-3.56
2 Cu 0.0000 0.0000 0.6162 [2 per cell]  1 Si 2.44, 4 Cu 2.56
3 Cu 0.0000 0.5000 0.2566 [4 per cell]  2 Si 2.42, 2 Cu 2.56
4 Si 0.0000 0.0000 0.3655 [2 per cell]  5 Cu 2.42-2.44

=====

5.
VASP calculation (PBE) on AcCu12Si6 after structural relaxation.

## Properties
uncorrected formation energy = -0.0318 eV/atom
VASP energy = -4.55 eV/atom

Cell: 10.6063 10.6063 8.5451 Å, 90.00 90.00 120.00°
Last column: nearest neighbours and their distance in Å.
Space group R-3m (No. 166, hexagonal axes)
Unique sites:
1 Ac 0.0000 0.0000 0.0000 [3 per cell]  18 Cu 3.21-3.60, 6 Si 3.54
2 Cu 0.0000 0.3834 0.5000 [18 per cell]  4 Si 2.35-2.44, 1 Cu 2.47
3 Cu 0.0876 0.1752 0.3253 [18 per cell]  3 Si 2.41-2.51, 2 Cu 2.64
4 Si 0.0454 0.5227 0.2589 [18 per cell]  7 Cu 2.35-2.51

=====

6.
VASP calculation (PBE) on AcCuSi2 after structural relaxation.

## Properties
uncorrected formation energy = 0.1872 eV/atom
VASP energy = -4.58 eV/atom

Cell: 4.3730 4.3730 6.6041 Å, 90.00 90.00 90.00°
Last column: nearest neighbours and their distance in Å.
Space group P4/mmm (No. 123)
Unique sites:
1 Ac 0.0000 0.0000 0.0000 [1 per cell]  8 Si 3.28
2 Cu 0.5000 0.5000 0.5000 [1 per cell]  2 Si 2.20
3 Si 0.5000 0.5000 0.1666 [2 per cell]  1 Si 2.20, 1 Cu 2.20

=====

7.
VASP calculation (PBE) on Ac2Cu15Si2 after structural relaxation.

## Properties
uncorrected formation energy = -0.0835 eV/atom
VASP energy = -4.32 eV/atom

Cell: 8.8256 8.8256 12.7016 Å, 90.00 90.00 120.00°
Last column: nearest neighbours and their distance in Å.
Space group R-3m (No. 166, hexagonal axes)
Unique sites:
1 Ac 0.0000 0.0000 0.1538 [6 per cell]  18 Cu 3.15-3.42, 1 Si 3.20
2 Cu 0.0000 0.2912 0.5000 [18 per cell]  8 Cu 2.50-2.72
3 Cu 0.0000 0.5000 0.0000 [9 per cell]  8 Cu 2.50-2.51, 2 Si 2.71
4 Cu 0.0101 0.5051 0.3424 [18 per cell]  8 Cu 2.51-2.72, 1 Si 2.68
5 Si 0.0000 0.0000 0.4056 [6 per cell]  1 Si 2.40, 3 Cu 2.68

=====

8.
VASP calculation (PBE) on Ac3Cu2Si4 after structural relaxation.

## Properties
uncorrected formation energy = -0.6222 eV/atom
VASP energy = -5.31 eV/atom

Cell: 11.6858 4.2172 8.5771 Å, 90.00 96.39 90.00°
Last column: nearest neighbours and their distance in Å.
Space group C2/m (No. 12)
Unique sites:
1 Ac 0.0000 0.0000 0.0000 [2 per cell]  8 Si 3.31-3.39, 4 Cu 3.35
2 Ac 0.1630 0.5000 0.6666 [4 per cell]  4 Cu 3.28-3.38, 8 Si 3.32-3.36
3 Cu 0.1104 0.5000 0.2805 [4 per cell]  3 Si 2.39-2.41
4 Si 0.0580 0.0000 0.3881 [4 per cell]  2 Cu 2.41, 1 Si 2.47
5 Si 0.2185 0.5000 0.0598 [4 per cell]  1 Cu 2.39, 2 Si 2.49

=====

9.
VASP calculation (PBE) on Ac3Cu2Si4 after structural relaxation.

## Properties
uncorrected formation energy = -0.4969 eV/atom
VASP energy = -5.19 eV/atom

Cell: 11.8763 4.2082 8.7494 Å, 90.00 109.94 90.00°
Last column: nearest neighbours and their distance in Å.
Space group C2/m (No. 12)
Unique sites:
1 Ac 0.0000 0.0000 0.0000 [2 per cell]  8 Si 3.31-3.47, 4 Cu 3.56
2 Ac 0.1104 0.5000 0.6778 [4 per cell]  8 Si 3.17-3.46, 4 Cu 3.23-3.54, 1 Ac 3.32
3 Cu 0.1815 0.5000 0.3170 [4 per cell]  4 Si 2.39-2.63
4 Si 0.1350 0.0000 0.4093 [4 per cell]  3 Cu 2.39-2.63
5 Si 0.2263 0.5000 0.0618 [4 per cell]  1 Cu 2.47, 2 Si 2.52

=====

10.
VASP calculation (PBE) on AcCu6Si3 after structural relaxation.

## Properties
uncorrected formation energy = -0.0979 eV/atom
VASP energy = -4.59 eV/atom

Cell: 9.3261 6.6110 6.3632 Å, 90.00 121.14 90.00°
Last column: nearest neighbours and their distance in Å.
Space group C2/m (No. 12)
Unique sites:
1 Ac 0.0000 0.0000 0.0000 [2 per cell]  4 Si 3.18-3.42, 4 Cu 3.37
2 Cu 0.1414 0.3073 0.5340 [8 per cell]  3 Si 2.37-2.45, 5 Cu 2.40-2.59
3 Cu 0.1923 0.5000 0.2241 [4 per cell]  3 Si 2.31-2.47, 2 Cu 2.54
4 Si 0.0000 0.0000 0.5000 [2 per cell]  6 Cu 2.37-2.47
5 Si 0.0825 0.5000 0.8054 [4 per cell]  6 Cu 2.31-2.47

=====

11.
VASP calculation (PBE) on Ac2Cu3Si5 after structural relaxation.

## Properties
uncorrected formation energy = -0.4247 eV/atom
VASP energy = -5.19 eV/atom

Cell: 11.5918 12.2863 6.1072 Å, 90.00 121.69 90.00°
Last column: nearest neighbours and their distance in Å.
Space group C2/c (No. 15)
Unique sites:
1 Ac 0.2478 0.1238 0.2476 [8 per cell]  10 Si 3.24-3.35, 7 Cu 3.29-3.63
2 Cu 0.0000 0.4993 0.7500 [4 per cell]  4 Si 2.48
3 Cu 0.1197 0.1293 0.6200 [8 per cell]  5 Si 2.46-2.50
4 Si 0.0000 0.0004 0.2500 [4 per cell]  4 Cu 2.50
5 Si 0.0000 0.2532 0.2500 [4 per cell]  2 Cu 2.46, 2 Si 2.52
6 Si 0.0000 0.2542 0.7500 [4 per cell]  2 Cu 2.46, 2 Si 2.52
7 Si 0.1291 0.3795 0.1297 [8 per cell]  3 Cu 2.48, 2 Si 2.52

=====

12.
VASP calculation (PBE) on Ac3Cu7Si4 after structural relaxation.

## Properties
uncorrected formation energy = -0.3028 eV/atom
VASP energy = -4.78 eV/atom

Cell: 15.6906 4.1849 10.5186 Å, 90.00 129.84 90.00°
Last column: nearest neighbours and their distance in Å.
Space group C2/m (No. 12)
Unique sites:
1 Ac 0.0000 0.0000 0.0000 [2 per cell]  6 Cu 3.18-3.55, 6 Si 3.35-3.39
2 Ac 0.1952 0.5000 0.6962 [4 per cell]  9 Cu 3.15-3.45, 5 Si 3.18-3.51
3 Cu 0.0000 0.0000 0.5000 [2 per cell]  2 Si 2.44
4 Cu 0.0020 0.5000 0.7295 [4 per cell]  3 Si 2.39-2.43, 3 Cu 2.46-2.59
5 Cu 0.1282 0.0000 0.8577 [4 per cell]  3 Si 2.44-2.46, 2 Cu 2.59
6 Cu 0.1944 0.5000 0.3937 [4 per cell]  3 Cu 2.46-2.72, 3 Si 2.50-2.57
7 Si 0.0988 0.0000 0.3918 [4 per cell]  6 Cu 2.43-2.57
8 Si 0.1731 0.5000 0.0080 [4 per cell]  4 Cu 2.39-2.46